Below is an optimized crystal structure of TcPOs2, with properties calculated at the PBE level.

Unit cell a=4.429 b=4.429 c=2.875 alpha=90.00 beta=90.00 gamma=90.00
Atoms (fractional coordinates):
Tc: 0.000 0.000 0.500
P: 0.500 0.500 0.500
Os: 0.500 0.000 0.000
Os: 0.000 0.500 0.000

## Properties
Calculated formation energy, meV per atom: 462
Magnetization, μB/f.u.: 0.0
Fermi-level density of states, states/eV/atom: 1.346